# 1
# SrCa3Zr

A geometry-optimized SrCa3Zr structure (PBE-GGA, the Alexandria database).

It has space group Pm-3m (No. 221), with a = 5.730 Å, b = 5.730 Å, c = 5.730 Å, α = 90.00°, β = 90.00° and γ = 90.00°. The inequivalent atoms are Sr at (0.000, 0.000, 0.000), Ca at (0.000, 0.000, 0.500) and Zr at (0.500, 0.500, 0.500).

As for the excess energy over the best structure of this formula in the dataset: 722.0 meV/atom. The value obtained for the formation energy is 126.5 kJ/mol of atoms.

# 2
# SrCaZr

A geometry-optimized SrCaZr structure (PBE-GGA, the Alexandria database).

It has space group C2/m (No. 12), with a = 12.418 Å, b = 5.700 Å, c = 8.826 Å, α = 90.00°, β = 134.16° and γ = 90.00°. The inequivalent atoms are Sr at (0.159, 0.000, 0.002), Ca at (0.166, 0.500, 0.332) and Zr at (0.000, 0.250, 0.500).

As for the excess energy over the best structure of this formula in the dataset: 189.9 meV/atom. The value obtained for the formation energy is 36.7 kJ/mol of atoms.